Entry 1:
{
  "formula": "ThMgH6Ru2",
  "functional": "PBE",
  "state": "optimized geometry",
  "total_magnetization_mub_per_fu": 0.00,
  "final_energy_ev_per_atom": -5.069,
  "space_group": "R-3m (166)",
  "dos_at_fermi_per_ev_fu": 3.60,
  "lattice": [[4.637, 0.000, 0.000], [2.319, 4.016, 0.000], [2.319, 1.339, 5.137]],
  "species": ["Th", "Mg", "H", "H", "H", "H", "H", "H", "Ru", "Ru"],
  "fractional_positions": [[0.000, 0.000, 0.000], [0.500, 0.500, 0.500], [0.052, 0.567, 0.815], [0.567, 0.052, 0.815], [0.433, 0.433, 0.185], [0.948, 0.433, 0.185], [0.433, 0.948, 0.185], [0.567, 0.567, 0.815], [0.798, 0.798, 0.606], [0.202, 0.202, 0.394]]
}

Entry 2:
{
  "formula": "MgTi2HRu",
  "functional": "PBE",
  "state": "optimized geometry",
  "total_magnetization_mub_per_fu": 0.73,
  "final_energy_ev_per_atom": -4.024,
  "space_group": "P4/mmm (123)",
  "dos_at_fermi_per_ev_fu": 8.15,
  "lattice": [[-3.116, -2.964, -2.277], [3.344, -2.681, -1.086], [-0.653, -2.487, 4.131]],
  "species": ["Ru", "Mg", "H", "Ti", "Ti"],
  "fractional_positions": [[0.000, 0.500, 0.000], [0.000, 0.000, 0.000], [0.500, 0.500, 0.500], [0.000, 0.000, 0.500], [0.500, 0.000, 0.000]]
}

Entry 3:
{
  "formula": "MgTlHRu2",
  "functional": "PBE",
  "state": "optimized geometry",
  "total_magnetization_mub_per_fu": 3.26,
  "final_energy_ev_per_atom": -3.197,
  "space_group": "P4/mmm (123)",
  "dos_at_fermi_per_ev_fu": 4.84,
  "lattice": [[4.675, 0.000, 0.000], [0.000, 5.285, 0.000], [0.000, 0.000, 4.675]],
  "species": ["Ru", "Ru", "Tl", "Mg", "H"],
  "fractional_positions": [[0.000, 0.000, 0.500], [0.500, 0.000, 0.000], [0.000, 0.500, 0.000], [0.000, 0.000, 0.000], [0.500, 0.500, 0.500]]
}

Entry 4:
{
  "formula": "Y2MgHRu",
  "functional": "PBE",
  "state": "optimized geometry",
  "total_magnetization_mub_per_fu": 0.00,
  "final_energy_ev_per_atom": -5.717,
  "space_group": "P4/mmm (123)",
  "dos_at_fermi_per_ev_fu": 2.20,
  "lattice": [[4.982, 0.000, 0.000], [0.000, 4.982, 0.000], [0.000, 0.000, 3.747]],
  "species": ["Y", "Y", "Ru", "Mg", "H"],
  "fractional_positions": [[0.000, 0.500, 0.000], [0.500, 0.000, 0.000], [0.000, 0.000, 0.500], [0.500, 0.500, 0.500], [0.000, 0.000, 0.000]]
}

Entry 5:
{
  "formula": "MgZn2HRu",
  "functional": "PBE",
  "state": "optimized geometry",
  "total_magnetization_mub_per_fu": 0.00,
  "final_energy_ev_per_atom": -3.338,
  "space_group": "P4/mmm (123)",
  "dos_at_fermi_per_ev_fu": 2.81,
  "lattice": [[-0.453, 3.350, -2.461], [1.256, -2.249, -3.293], [-3.428, -0.948, -0.660]],
  "species": ["Ru", "Zn", "Zn", "Mg", "H"],
  "fractional_positions": [[0.000, 0.000, 0.500], [0.000, 0.500, 0.000], [0.500, 0.000, 0.000], [0.500, 0.500, 0.500], [0.000, 0.000, 0.000]]
}

Entry 6:
{
  "formula": "MgHS",
  "functional": "PBE",
  "state": "optimized geometry",
  "total_magnetization_mub_per_fu": 0.00,
  "final_energy_ev_per_atom": -3.908,
  "space_group": "P2_1/c (14)",
  "dos_at_fermi_per_ev_fu": 0.00,
  "lattice": [[3.583, 0.000, 0.000], [0.000, 7.167, 0.104], [0.000, 0.709, 8.953]],
  "species": ["Mg", "Mg", "Mg", "Mg", "H", "H", "H", "H", "S", "S", "S", "S"],
  "fractional_positions": [[0.750, 0.389, 0.374], [0.250, 0.111, 0.626], [0.250, 0.611, 0.626], [0.750, 0.889, 0.374], [0.548, 0.972, 0.972], [0.048, 0.528, 0.028], [0.452, 0.028, 0.028], [0.952, 0.472, 0.972], [0.749, 0.356, 0.661], [0.249, 0.144, 0.339], [0.251, 0.644, 0.339], [0.751, 0.856, 0.661]]
}

Entry 7:
{
  "formula": "Mg3HS",
  "functional": "PBE",
  "state": "optimized geometry",
  "total_magnetization_mub_per_fu": 0.00,
  "final_energy_ev_per_atom": -2.486,
  "space_group": "Pm-3m (221)",
  "dos_at_fermi_per_ev_fu": 1.47,
  "polymorph_energy_mev_per_atom": 0,
  "lattice": [[4.408, 0.000, 0.000], [0.000, 4.408, 0.000], [0.000, 0.000, 4.408]],
  "species": ["H", "S", "Mg", "Mg", "Mg"],
  "fractional_positions": [[0.000, 0.000, 0.000], [0.500, 0.500, 0.500], [0.000, 0.500, 0.000], [0.000, 0.000, 0.500], [0.500, 0.000, 0.000]]
}

Entry 8:
{
  "formula": "MgHS3",
  "functional": "PBE",
  "state": "optimized geometry",
  "total_magnetization_mub_per_fu": 3.04,
  "final_energy_ev_per_atom": -2.614,
  "space_group": "Pm-3m (221)",
  "dos_at_fermi_per_ev_fu": 6.31,
  "polymorph_energy_mev_per_atom": 352,
  "lattice": [[4.854, 0.000, 0.000], [0.000, 4.854, 0.000], [0.000, 0.000, 4.854]],
  "species": ["H", "S", "S", "S", "Mg"],
  "fractional_positions": [[0.500, 0.500, 0.500], [0.000, 0.500, 0.000], [0.000, 0.000, 0.500], [0.500, 0.000, 0.000], [0.000, 0.000, 0.000]]
}

Entry 9:
{
  "formula": "MgHS",
  "functional": "PBE",
  "state": "optimized geometry",
  "total_magnetization_mub_per_fu": 0.00,
  "final_energy_ev_per_atom": -3.870,
  "space_group": "C2/m (12)",
  "dos_at_fermi_per_ev_fu": 0.00,
  "lattice": [[-3.870, -1.870, 3.152], [-0.451, -3.579, -2.676], [5.100, -3.693, 4.081]],
  "species": ["Mg", "Mg", "Mg", "Mg", "H", "H", "H", "H", "S", "S", "S", "S"],
  "fractional_positions": [[0.747, 0.000, 0.831], [0.253, 0.000, 0.169], [0.747, 0.500, 0.331], [0.253, 0.500, 0.669], [0.953, 0.000, 0.462], [0.047, 0.000, 0.538], [0.953, 0.500, 0.962], [0.047, 0.500, 0.038], [0.745, 0.000, 0.170], [0.255, 0.000, 0.830], [0.745, 0.500, 0.670], [0.255, 0.500, 0.330]]
}

Entry 10:
{
  "formula": "MgHS3",
  "functional": "PBE",
  "state": "optimized geometry",
  "total_magnetization_mub_per_fu": 0.00,
  "final_energy_ev_per_atom": -2.966,
  "space_group": "Pm-3m (221)",
  "dos_at_fermi_per_ev_fu": 3.72,
  "polymorph_energy_mev_per_atom": 0,
  "lattice": [[-1.292, 2.454, -3.088], [1.292, -2.807, -2.772], [-3.727, -1.824, 0.110]],
  "species": ["H", "S", "S", "S", "Mg"],
  "fractional_positions": [[0.000, 0.000, 0.000], [0.000, 0.500, 0.000], [0.000, 0.000, 0.500], [0.500, 0.000, 0.000], [0.500, 0.500, 0.500]]
}

Entry 11:
{
  "formula": "MgH3S",
  "functional": "PBE",
  "state": "optimized geometry",
  "total_magnetization_mub_per_fu": 0.00,
  "final_energy_ev_per_atom": -2.550,
  "space_group": "Pm-3m (221)",
  "dos_at_fermi_per_ev_fu": 1.54,
  "polymorph_energy_mev_per_atom": 0,
  "lattice": [[-1.783, 2.906, 1.382], [-3.072, -1.066, -1.721], [-0.960, -1.988, 2.943]],
  "species": ["H", "H", "H", "S", "Mg"],
  "fractional_positions": [[0.000, 0.500, 0.000], [0.000, 0.000, 0.500], [0.500, 0.000, 0.000], [0.000, 0.000, 0.000], [0.500, 0.500, 0.500]]
}

Entry 12:
{
  "formula": "MgHS",
  "functional": "PBE",
  "state": "optimized geometry",
  "total_magnetization_mub_per_fu": 0.00,
  "final_energy_ev_per_atom": -3.917,
  "space_group": "P1 (1)",
  "dos_at_fermi_per_ev_fu": 0.00,
  "lattice": [[4.172, 0.000, 0.000], [-2.080, 3.620, 0.000], [-0.157, -1.972, 8.302]],
  "species": ["Mg", "Mg", "H", "H", "S", "S"],
  "fractional_positions": [[0.298, 0.927, 0.659], [0.549, 0.449, 0.395], [0.354, 0.089, 0.034], [0.480, 0.281, 0.017], [0.646, 0.619, 0.706], [0.201, 0.757, 0.349]]
}

Entry 13:
{
  "formula": "MgHS",
  "functional": "PBE",
  "state": "optimized geometry",
  "total_magnetization_mub_per_fu": 0.00,
  "final_energy_ev_per_atom": -3.872,
  "space_group": "Cm (8)",
  "dos_at_fermi_per_ev_fu": 0.00,
  "lattice": [[-0.148, 6.591, 2.650], [-4.008, 0.295, -0.959], [-1.547, -4.778, 4.995]],
  "species": ["H", "H", "H", "H", "Mg", "Mg", "Mg", "Mg", "S", "S", "S", "S"],
  "fractional_positions": [[0.995, 0.592, 0.149], [0.995, 0.408, 0.149], [0.995, 0.092, 0.649], [0.995, 0.908, 0.649], [0.850, 0.000, 0.295], [0.850, 0.500, 0.795], [0.356, 0.000, 0.779], [0.356, 0.500, 0.279], [0.727, 0.000, 0.913], [0.727, 0.500, 0.413], [0.238, 0.000, 0.401], [0.238, 0.500, 0.901]]
}

Entry 14:
{
  "formula": "Mg4HS2",
  "functional": "PBE",
  "state": "optimized geometry",
  "total_magnetization_mub_per_fu": 0.00,
  "final_energy_ev_per_atom": -3.206,
  "space_group": "I4/mmm (139)",
  "dos_at_fermi_per_ev_fu": 0.54,
  "lattice": [[4.045, 0.000, 0.000], [0.000, 4.045, 0.000], [2.022, 2.022, 9.530]],
  "species": ["H", "S", "S", "Mg", "Mg", "Mg", "Mg"],
  "fractional_positions": [[0.000, 0.000, 0.000], [0.583, 0.583, 0.834], [0.417, 0.417, 0.166], [0.713, 0.713, 0.574], [0.287, 0.287, 0.426], [0.000, 0.500, 0.000], [0.500, 0.000, 0.000]]
}

Entry 15:
{
  "formula": "Mg2H2S",
  "functional": "PBE",
  "state": "optimized geometry",
  "total_magnetization_mub_per_fu": 0.00,
  "final_energy_ev_per_atom": -3.321,
  "space_group": "R-3m (166)",
  "dos_at_fermi_per_ev_fu": 0.00,
  "polymorph_energy_mev_per_atom": 19,
  "lattice": [[-1.601, 2.061, 2.194], [-0.019, -0.737, 3.329], [5.776, 4.381, 2.749]],
  "species": ["Mg", "Mg", "H", "H", "S"],
  "fractional_positions": [[0.597, 0.597, 0.210], [0.403, 0.403, 0.790], [0.226, 0.226, 0.322], [0.774, 0.774, 0.678], [0.000, 0.000, 0.000]]
}

Entry 16:
{
  "formula": "Mg2H2S",
  "functional": "PBE",
  "state": "optimized geometry",
  "total_magnetization_mub_per_fu": 0.00,
  "final_energy_ev_per_atom": -3.340,
  "space_group": "I4/mmm (139)",
  "dos_at_fermi_per_ev_fu": 0.00,
  "polymorph_energy_mev_per_atom": 0,
  "lattice": [[3.328, 0.000, 0.000], [0.000, 3.328, 0.000], [1.664, 1.664, 5.292]],
  "species": ["H", "H", "S", "Mg", "Mg"],
  "fractional_positions": [[0.750, 0.250, 0.500], [0.250, 0.750, 0.500], [0.000, 0.000, 0.000], [0.356, 0.356, 0.289], [0.644, 0.644, 0.711]]
}

Entry 17:
{
  "formula": "MgHS",
  "functional": "PBE",
  "state": "optimized geometry",
  "total_magnetization_mub_per_fu": 0.00,
  "final_energy_ev_per_atom": -3.909,
  "space_group": "Cm (8)",
  "dos_at_fermi_per_ev_fu": 0.00,
  "lattice": [[8.350, 0.000, -0.006], [0.000, 5.063, 0.000], [-1.544, 0.000, 4.847]],
  "species": ["Mg", "Mg", "Mg", "Mg", "H", "H", "H", "H", "S", "S", "S", "S"],
  "fractional_positions": [[0.669, 0.000, 0.289], [0.669, 0.500, 0.789], [0.385, 0.000, 0.647], [0.385, 0.500, 0.147], [0.026, 0.075, 0.464], [0.026, 0.925, 0.464], [0.026, 0.575, 0.964], [0.026, 0.425, 0.964], [0.707, 0.000, 0.808], [0.707, 0.500, 0.308], [0.347, 0.000, 0.127], [0.347, 0.500, 0.627]]
}

Entry 18:
{
  "formula": "MgHS",
  "functional": "PBE",
  "state": "optimized geometry",
  "total_magnetization_mub_per_fu": 0.00,
  "final_energy_ev_per_atom": -3.869,
  "space_group": "C2 (5)",
  "dos_at_fermi_per_ev_fu": 0.00,
  "lattice": [[5.785, 0.000, 0.003], [0.000, 5.888, 0.000], [-0.163, 0.000, 5.703]],
  "species": ["Mg", "Mg", "Mg", "Mg", "H", "H", "H", "H", "S", "S", "S", "S"],
  "fractional_positions": [[0.748, 0.144, 0.256], [0.252, 0.144, 0.744], [0.748, 0.644, 0.756], [0.252, 0.644, 0.244], [0.963, 0.863, 0.054], [0.037, 0.863, 0.946], [0.963, 0.363, 0.554], [0.037, 0.363, 0.446], [0.500, 0.391, 0.500], [0.500, 0.891, 0.000], [0.000, 0.379, 0.000], [0.000, 0.879, 0.500]]
}

Entry 19:
{
  "formula": "Mg2H6S",
  "functional": "PBE",
  "state": "optimized geometry",
  "total_magnetization_mub_per_fu": 0.00,
  "final_energy_ev_per_atom": -2.587,
  "space_group": "Fm-3m (225)",
  "dos_at_fermi_per_ev_fu": 0.97,
  "lattice": [[4.082, 0.000, 2.357], [1.361, 3.849, 2.357], [0.000, 0.000, 4.714]],
  "species": ["Mg", "Mg", "H", "H", "H", "H", "H", "H", "S"],
  "fractional_positions": [[0.750, 0.750, 0.750], [0.250, 0.250, 0.250], [0.359, 0.641, 0.641], [0.641, 0.641, 0.359], [0.641, 0.359, 0.641], [0.641, 0.359, 0.359], [0.359, 0.359, 0.641], [0.359, 0.641, 0.359], [0.000, 0.000, 0.000]]
}

Entry 20:
{
  "formula": "MgHS",
  "functional": "PBE",
  "state": "optimized geometry",
  "total_magnetization_mub_per_fu": 0.00,
  "final_energy_ev_per_atom": -3.895,
  "space_group": "Cm (8)",
  "dos_at_fermi_per_ev_fu": 0.00,
  "lattice": [[-2.575, 3.300, -5.144], [-3.726, -0.315, 1.663], [1.015, 6.144, 3.438]],
  "species": ["Mg", "Mg", "Mg", "Mg", "H", "H", "H", "H", "S", "S", "S", "S"],
  "fractional_positions": [[0.856, 0.000, 0.900], [0.856, 0.500, 0.400], [0.359, 0.000, 0.569], [0.359, 0.500, 0.069], [0.046, 0.000, 0.236], [0.046, 0.500, 0.736], [0.931, 0.000, 0.233], [0.931, 0.500, 0.733], [0.728, 0.000, 0.567], [0.728, 0.500, 0.067], [0.240, 0.000, 0.902], [0.240, 0.500, 0.402]]
}

Entry 21:
{
  "formula": "MgHS",
  "functional": "PBE",
  "state": "optimized geometry",
  "total_magnetization_mub_per_fu": 0.00,
  "final_energy_ev_per_atom": -3.862,
  "space_group": "Cm (8)",
  "dos_at_fermi_per_ev_fu": 0.00,
  "lattice": [[4.376, 0.000, -0.034], [0.000, 4.463, 0.000], [-4.445, 0.000, 13.199]],
  "species": ["Mg", "Mg", "Mg", "Mg", "H", "H", "H", "H", "S", "S", "S", "S"],
  "fractional_positions": [[0.505, 0.000, 0.068], [0.505, 0.500, 0.568], [0.999, 0.000, 0.560], [0.999, 0.500, 0.060], [0.256, 0.916, 0.312], [0.256, 0.084, 0.312], [0.256, 0.416, 0.812], [0.256, 0.584, 0.812], [0.591, 0.000, 0.649], [0.591, 0.500, 0.149], [0.913, 0.000, 0.979], [0.913, 0.500, 0.479]]
}

Entry 22:
{
  "formula": "MgHS",
  "functional": "PBE",
  "state": "optimized geometry",
  "total_magnetization_mub_per_fu": 0.00,
  "final_energy_ev_per_atom": -3.915,
  "space_group": "C2/m (12)",
  "dos_at_fermi_per_ev_fu": 0.00,
  "lattice": [[4.175, 0.000, 0.000], [-2.087, 3.593, 0.297], [0.000, 0.316, 8.865]],
  "species": ["Mg", "Mg", "H", "H", "S", "S"],
  "fractional_positions": [[0.851, 0.702, 0.376], [0.149, 0.298, 0.624], [0.458, 0.917, 0.030], [0.542, 0.083, 0.970], [0.809, 0.618, 0.669], [0.191, 0.382, 0.331]]
}

Entry 23:
{
  "formula": "MgH3S",
  "functional": "PBE",
  "state": "optimized geometry",
  "total_magnetization_mub_per_fu": 0.00,
  "final_energy_ev_per_atom": -2.448,
  "space_group": "Pm-3m (221)",
  "dos_at_fermi_per_ev_fu": 1.62,
  "polymorph_energy_mev_per_atom": 102,
  "lattice": [[-0.417, 3.619, 0.378], [-3.547, -0.319, -0.854], [-0.811, -0.464, 3.542]],
  "species": ["H", "H", "H", "S", "Mg"],
  "fractional_positions": [[0.000, 0.500, 0.000], [0.000, 0.000, 0.500], [0.500, 0.000, 0.000], [0.500, 0.500, 0.500], [0.000, 0.000, 0.000]]
}

Entry 24:
{
  "formula": "SrMgH2S",
  "functional": "PBE",
  "state": "optimized geometry",
  "total_magnetization_mub_per_fu": 0.00,
  "final_energy_ev_per_atom": -3.709,
  "space_group": "P4/mmm (123)",
  "dos_at_fermi_per_ev_fu": 0.00,
  "lattice": [[4.127, 0.000, 0.000], [0.000, 4.127, 0.000], [0.000, 0.000, 4.997]],
  "species": ["Sr", "S", "Mg", "H", "H"],
  "fractional_positions": [[0.500, 0.500, 0.500], [0.000, 0.000, 0.500], [0.000, 0.000, 0.000], [0.000, 0.500, 0.000], [0.500, 0.000, 0.000]]
}

Entry 25:
{
  "formula": "MgTcH2S",
  "functional": "PBE",
  "state": "optimized geometry",
  "total_magnetization_mub_per_fu": 2.98,
  "final_energy_ev_per_atom": -3.550,
  "space_group": "P4/mmm (123)",
  "dos_at_fermi_per_ev_fu": 2.42,
  "lattice": [[3.652, 0.000, 0.000], [0.000, 5.641, 0.000], [0.000, 0.000, 3.652]],
  "species": ["Mg", "H", "H", "S", "Tc"],
  "fractional_positions": [[0.000, 0.500, 0.000], [0.000, 0.000, 0.500], [0.500, 0.000, 0.000], [0.000, 0.000, 0.000], [0.500, 0.500, 0.500]]
}